A plane-wave DFT calculation with PBE was carried out for a relaxed structure of AcRe3O12.

abc: 11.0368 11.0368 11.0368
angles: 49.06 49.06 49.06
Fractional coordinates of all 32 atoms:
Ac (0.0000, 0.0000, 0.0000)
Ac (0.5000, 0.5000, 0.5000)
Re (0.1244, 0.7780, 0.4123)
Re (0.2780, 0.6244, 0.9123)
Re (0.4123, 0.1244, 0.7780)
Re (0.6244, 0.9123, 0.2780)
Re (0.7780, 0.4123, 0.1244)
Re (0.9123, 0.2780, 0.6244)
O (0.0369, 0.0510, 0.6990)
O (0.0380, 0.3865, 0.4208)
O (0.0510, 0.6990, 0.0369)
O (0.1220, 0.8326, 0.2225)
O (0.1990, 0.5510, 0.5369)
O (0.2225, 0.1220, 0.8326)
O (0.2810, 0.8286, 0.3568)
O (0.3286, 0.7810, 0.8568)
O (0.3326, 0.6220, 0.7225)
O (0.3568, 0.2810, 0.8286)
O (0.3865, 0.4208, 0.0380)
O (0.4208, 0.0380, 0.3865)
O (0.5369, 0.1990, 0.5510)
O (0.5380, 0.9208, 0.8865)
O (0.5510, 0.5369, 0.1990)
O (0.6220, 0.7225, 0.3326)
O (0.6990, 0.0369, 0.0510)
O (0.7225, 0.3326, 0.6220)
O (0.7810, 0.8568, 0.3286)
O (0.8286, 0.3568, 0.2810)
O (0.8326, 0.2225, 0.1220)
O (0.8568, 0.3286, 0.7810)
O (0.8865, 0.5380, 0.9208)
O (0.9208, 0.8865, 0.5380)

Results
Electronic total energy ... -264.109 eV per cell
M_tot ... 0.3 μB per cell
E_form (uncorrected) ... -44.829 kcal/mol of atoms